Entry 1:
MgTaCr: optimized geometry, GGA-PBE.

Summary:
polymorph energy (0 for the lowest one)	0.000	eV/atom
ΔE_f	0.3443	eV per atom

Unit cell a=3.2238 b=3.2238 c=9.9422 alpha=90.00 beta=90.00 gamma=90.00
With the nearest neighbours (Å) after each atom.
Space group I4mm (No. 107)
Inequivalent atoms, fractional coordinates:
Mg 0.0000 0.0000 0.0000 (multiplicity 2)  5 Cr 2.91-3.16, 5 Ta 2.92-3.07, 4 Mg 3.22
Ta 0.0000 0.0000 0.2935 (multiplicity 2)  4 Cr 2.53
Cr 0.0000 0.0000 0.6823 (multiplicity 2)  4 Ta 2.53


Entry 2:
CuTcRu2S: optimized geometry, GGA-PBE.

Summary:
formation energy (no corrections)	3.150	eV/f.u.

Unit cell a=4.2999 b=4.2999 c=4.3380 alpha=90.00 beta=90.00 gamma=90.00
With the nearest neighbours (Å) after each atom.
Space group P4/mmm (No. 123)
Inequivalent atoms, fractional coordinates:
Cu 0.0000 0.0000 0.0000 (multiplicity 1)  4 Tc 3.04, 8 Ru 3.05
Tc 0.5000 0.5000 0.0000 (multiplicity 1)  2 S 2.17
Ru 0.0000 0.5000 0.5000 (multiplicity 2)  2 S 2.15
S 0.5000 0.5000 0.5000 (multiplicity 1)  4 Ru 2.15, 2 Tc 2.17


Entry 3:
Sr2MgGaPd: optimized geometry, GGA-PBE.

Summary:
ΔE_f	-0.2816	eV per atom

Unit cell a=5.9284 b=5.9284 c=4.8252 alpha=90.00 beta=90.00 gamma=90.00
With the nearest neighbours (Å) after each atom.
Space group P4/mmm (No. 123)
Inequivalent atoms, fractional coordinates:
Sr 0.0000 0.5000 0.0000 (multiplicity 2)  2 Pd 2.96
Mg 0.0000 0.0000 0.5000 (multiplicity 1)  8 Sr 3.82, 4 Ga 4.19
Ga 0.5000 0.5000 0.5000 (multiplicity 1)  2 Pd 2.41
Pd 0.5000 0.5000 0.0000 (multiplicity 1)  2 Ga 2.41


Entry 4:
YScTlNi: optimized geometry, GGA-PBE.

Summary:
ΔE_f	-0.2487	eV per atom

Unit cell a=7.0462 b=7.0462 c=7.0462 alpha=90.00 beta=90.00 gamma=90.00
With the nearest neighbours (Å) after each atom.
Space group F-43m (No. 216)
Inequivalent atoms, fractional coordinates:
Y 0.0000 0.0000 0.0000 (multiplicity 4)  4 Tl 3.05, 4 Ni 3.05
Sc 0.0000 0.0000 0.5000 (multiplicity 4)  4 Tl 3.05, 4 Ni 3.05
Tl 0.2500 0.2500 0.2500 (multiplicity 4)  4 Sc 3.05, 4 Y 3.05
Ni 0.2500 0.2500 0.7500 (multiplicity 4)  4 Sc 3.05, 4 Y 3.05


| no. | uncorrected energy (eV/f.u.) | D(E_F) (states/eV per cell) | total magnetic moment (μB per atom) |
| --- | --- | --- | --- |
| 1 | -22.04 | 7.64 | 0.00 |
| 2 | -33.99 | 4.88 | 0.34 |
| 3 | -14.59 | 3.57 | 0.00 |
| 4 | -21.94 | 15.59 | 0.00 |